MnTlF3, relaxed, DFT PBE with a Hubbard U; mass density = 6.55 Mg/m³; volume = 16.05 A^3/atom; M_tot = 5.00 μB per cell; uncorrected energy = -27.197 eV/cell
1.0
4.3132 0.0000 0.0000
0.0000 4.3132 0.0000
0.0000 0.0000 4.3132
Mn Tl F
1 1 3
Direct
0.0000 0.0000 0.0000
0.5000 0.5000 0.5000
0.0000 0.0000 0.5000
0.0000 0.5000 0.0000
0.5000 0.0000 0.0000